Density functional theory data (GGA-PBE) for TbSc2Nb after structural relaxation.

Cell lengths 3.2309, 3.2309, 31.7804 Å; angles 90.00, 90.00, 120.00 degrees
Closest atoms and distances in Å follow each position.
Space group R3m (No. 160, hexagonal axes)
Asymmetric unit:
Tb  0.0000  0.0000  0.0000 (multiplicity 3)  6 Tb 3.23, 6 Sc 3.45-3.50
Sc  0.0000  0.0000  0.5735 (multiplicity 3)  3 Nb 3.02, 6 Sc 3.23
Sc  0.0000  0.0000  0.7579 (multiplicity 3)  3 Nb 3.01, 6 Sc 3.23
Nb  0.0000  0.0000  0.1655 (multiplicity 3)  6 Sc 3.01-3.02, 6 Nb 3.23

For the energy of formation, the calculation gives 171 meV/atom. For the energy above the most stable polymorph in this dataset, the calculation gives 23 meV/atom. The calculation puts the magnetization at 0.000 μB/f.u.


Density functional theory data (GGA-PBE) for CaPmYSn after structural relaxation.

Cell lengths 7.7774, 7.7774, 7.7774 Å; angles 90.00, 90.00, 90.00 degrees
Closest atoms and distances in Å follow each position.
Space group F-43m (No. 216)
Asymmetric unit:
Ca  0.0000  0.0000  0.0000 (multiplicity 4)  4 Pm 3.37, 4 Y 3.37
Pm  0.2500  0.2500  0.7500 (multiplicity 4)  4 Sn 3.37, 4 Ca 3.37
Y  0.2500  0.2500  0.2500 (multiplicity 4)  4 Sn 3.37, 4 Ca 3.37
Sn  0.0000  0.0000  0.5000 (multiplicity 4)  4 Y 3.37, 4 Pm 3.37

For the energy of formation, the calculation gives -269 meV/atom. The calculation puts the magnetization at 0.667 μB/f.u.